12
Lattice="2.107 -7.275 0.000 2.107 7.275 0.000 0.000 0.000 10.033" Properties=species:S:1:pos:R:3 comment="HoAgGeTe2S, relaxed, DFT PBE" total_energy_ev_per_fu=-25.990 sg="No. 63" crystal_system=orthorhombic pbc="T T T"
Te 2.107 -5.009 5.571
Te 2.107 -5.009 9.479
Te 2.107 5.009 4.462
Te 2.107 5.009 0.555
S 2.107 1.167 2.508
S 2.107 -1.167 7.525
Ho 2.107 0.000 0.000
Ho 2.107 0.000 5.017
Ag 2.107 -7.039 7.525
Ag 2.107 7.039 2.508
Ge 2.107 -3.455 2.508
Ge 2.107 3.455 7.525



12
Lattice="6.656 -1.994 0.000 6.656 1.994 0.000 0.000 0.000 10.669" Properties=species:S:1:pos:R:3 comment="HoAgGeSe3, relaxed, DFT PBE" total_energy_ev_per_fu=-26.989 sg="No. 63" crystal_system=orthorhombic pbc="T T T"
Ag 6.334 0.000 2.667
Ag 6.978 0.000 8.001
Se 4.686 0.000 4.677
Se 8.626 0.000 5.991
Se 4.686 0.000 0.657
Se 1.443 0.000 2.667
Se 11.869 0.000 8.001
Se 8.626 0.000 10.012
Ge 10.247 0.000 2.667
Ge 3.065 0.000 8.001
Ho 0.000 0.000 0.000
Ho 0.000 0.000 5.334



12
Lattice="-0.975 5.874 3.847 -2.502 -6.364 -1.869 5.516 -4.677 8.539" Properties=species:S:1:pos:R:3 comment="HoAgGeTeSe2, relaxed, DFT PBE" total_energy_ev_per_fu=-26.256 sg="No. 63" crystal_system=orthorhombic pbc="T T T"
Ho 2.758 -2.338 4.270
Ho 0.000 0.000 0.000
Ge 2.846 -0.166 9.069
Ge -0.807 -5.001 1.448
Te 1.820 -8.390 5.227
Te 0.219 3.223 5.290
Se -1.167 1.179 2.347
Se 3.206 -6.346 8.170
Se 1.160 -4.612 5.004
Se 0.879 -0.555 5.513
Ag -0.324 -1.131 3.256
Ag 2.363 -4.036 7.261



11
Lattice="6.554 -0.264 5.069 -1.046 0.461 8.210 -1.274 -3.911 -7.197" Properties=species:S:1:pos:R:3 comment="Ho3Si2Ag4Ge2, relaxed, DFT PBE" total_energy_ev_per_fu=-50.675 sg="No. 71" crystal_system=orthorhombic pbc="T T T"
Ge 0.981 -0.776 -0.396
Ge 4.298 -3.399 -1.732
Ho 2.754 0.098 6.640
Ho -0.470 -1.700 2.172
Ho 4.703 -2.014 3.911
Si 3.944 0.141 9.510
Si 1.563 0.056 3.769
Ag 2.548 -1.226 1.661
Ag -0.408 -0.833 5.265
Ag 1.685 -2.489 4.422
Ag 4.641 -2.881 0.817



11
Lattice="-2.165 3.599 7.288 2.165 -3.599 7.288 2.165 3.599 -7.288" Properties=species:S:1:pos:R:3 comment="SmHo2Ag4Ge4, relaxed, DFT PBE" total_energy_ev_per_fu=-49.572 sg="No. 71" crystal_system=orthorhombic pbc="T T T"
Ho 2.165 0.000 5.453
Ho 0.000 3.599 1.835
Ag 2.165 1.424 -2.464
Ag 0.000 2.175 9.752
Ag 2.165 1.424 2.464
Ag 0.000 2.175 4.823
Sm 0.000 0.000 0.000
Ge 0.000 1.302 7.288
Ge 2.165 2.296 0.000
Ge 0.000 0.000 3.182
Ge 0.000 0.000 11.393



11
Lattice="-2.166 3.551 7.240 2.166 -3.551 7.240 2.166 3.551 -7.240" Properties=species:S:1:pos:R:3 comment="Ho2TmAg4Ge4, relaxed, DFT PBE" total_energy_ev_per_fu=-48.890 sg="No. 71" crystal_system=orthorhombic pbc="T T T"
Ag 2.166 1.410 2.454
Ag 0.000 2.140 4.787
Ag 0.000 2.140 9.694
Ag 2.166 1.410 -2.454
Ge 2.166 2.238 0.000
Ge 0.000 1.313 7.240
Ge 0.000 0.000 11.354
Ge 0.000 0.000 3.127
Ho 2.166 0.000 5.424
Ho 0.000 3.551 1.816
Tm 0.000 0.000 0.000



8
Lattice="-0.565 -5.900 -5.054 -6.806 -3.662 -0.967 -4.007 0.911 -6.617" Properties=species:S:1:pos:R:3 comment="AgGeI6, relaxed, DFT PBE" total_energy_ev_per_fu=-15.383 sg="No. 216" crystal_system=cubic pbc="T T T"
I -5.130 -4.658 -9.001
I -3.122 -5.114 -5.685
I -4.846 -1.702 -6.468
I -6.532 -6.949 -6.170
I -8.257 -3.537 -6.952
I -6.249 -3.993 -3.637
Ge 0.000 0.000 0.000
Ag -2.845 -2.163 -3.159



20
Lattice="-1.555 0.000 5.519 0.000 -6.806 0.000 8.915 3.403 0.023" Properties=species:S:1:pos:R:3 comment="Ag9Ge2IO8, relaxed, DFT PBE" total_energy_ev_per_fu=-87.019 sg="No. 12" crystal_system=monoclinic pbc="T T T"
O 1.278 -4.847 3.326
O 1.278 -1.959 3.326
O 5.216 0.000 5.279
O 6.082 1.444 2.216
O 2.144 -3.403 0.263
O 6.082 -1.444 2.216
O 3.280 -3.403 4.857
O 4.080 0.000 0.685
I 0.000 0.000 0.000
Ag 2.689 -5.292 1.591
Ag -0.778 -4.988 2.760
Ag 4.671 -1.890 3.951
Ag 4.671 1.890 3.951
Ag 5.007 -3.403 1.591
Ag -0.778 -1.818 2.760
Ag 2.353 0.000 3.951
Ag 2.689 -1.513 1.591
Ag 0.000 -3.403 0.000
Ge 1.590 -3.403 4.315
Ge 5.770 0.000 1.227